# 1
First-principles (PBE) data for a relaxed La2Tm3In2 crystal, as listed in Alexandria.

a = 3.790 Å, b = 10.886 Å, c = 5.570 Å
α = 75.25°, β = 90.00°, γ = 99.99°
Element x y z (fractional)
La: 0.897 0.797 0.601
La: 0.103 0.203 0.399
Tm: 0.000 0.000 0.000
Tm: 0.755 0.509 0.246
Tm: 0.245 0.491 0.754
In: 0.627 0.252 0.875
In: 0.373 0.748 0.125

## Properties
E = -30.0 eV for the cell shown
M_tot = 0.00 Bohr magnetons per cell

# 2
First-principles (PBE) data for a relaxed Ca2Si3Pt2 crystal, as listed in Alexandria.

a = 4.256 Å, b = 7.018 Å, c = 8.966 Å
α = 90.00°, β = 103.73°, γ = 90.00°
Element x y z (fractional)
Si: 0.440 0.578 0.881
Si: 0.232 0.750 0.463
Si: 0.560 0.078 0.119
Si: 0.440 0.922 0.881
Si: 0.768 0.250 0.537
Si: 0.560 0.422 0.119
Ca: 0.061 0.750 0.122
Ca: 0.153 0.250 0.306
Ca: 0.847 0.750 0.694
Ca: 0.939 0.250 0.878
Pt: 0.689 0.548 0.379
Pt: 0.311 0.452 0.621
Pt: 0.689 0.952 0.379
Pt: 0.311 0.048 0.621

## Properties
Energy above the most stable polymorph in this dataset = 0 meV per atom
M_tot = 0.00 Bohr magnetons per cell
Formation energy without anion corrections = -799.9 meV/atom

# 3
First-principles (PBE) data for a relaxed LiSnGeSe4 crystal, as listed in Alexandria.

a = 6.658 Å, b = 6.416 Å, c = 9.490 Å
α = 90.00°, β = 104.99°, γ = 90.00°
Element x y z (fractional)
Se: 0.503 0.750 0.515
Se: 0.015 0.517 0.750
Se: 0.985 0.017 0.250
Se: 0.497 0.250 0.485
Se: 0.015 0.983 0.750
Se: 0.390 0.750 0.083
Se: 0.985 0.483 0.250
Se: 0.610 0.250 0.917
Sn: 0.220 0.250 0.990
Sn: 0.780 0.750 0.010
Ge: 0.246 0.750 0.290
Ge: 0.754 0.250 0.710
Li: 0.743 0.750 0.345
Li: 0.257 0.250 0.655

## Properties
M_tot = 0.00 Bohr magnetons per cell
Formation energy without anion corrections = -395.5 meV/atom

# 4
First-principles (PBE) data for a relaxed LiSnAs2W crystal, as listed in Alexandria.

a = 5.127 Å, b = 4.410 Å, c = 5.127 Å
α = 90.00°, β = 90.00°, γ = 90.00°
Element x y z (fractional)
Sn: 0.000 0.000 0.000
As: 0.000 0.000 0.500
As: 0.500 0.000 0.000
W: 0.500 0.500 0.500
Li: 0.000 0.500 0.000

## Properties
E = -19.8 eV for the cell shown
M_tot = 0.00 Bohr magnetons per cell

# 5
First-principles (PBE) data for a relaxed CoReSn2Rh crystal, as listed in Alexandria.

a = 5.136 Å, b = 4.735 Å, c = 5.136 Å
α = 90.00°, β = 90.00°, γ = 90.00°
Element x y z (fractional)
Re: 0.000 0.000 0.000
Co: 0.500 0.500 0.500
Sn: 0.500 0.000 0.000
Sn: 0.000 0.000 0.500
Rh: 0.000 0.500 0.000

## Properties
E = -28.5 eV for the cell shown
M_tot = 1.86 Bohr magnetons per cell

# 6
First-principles (PBE) data for a relaxed ZrTlPt crystal, as listed in Alexandria.

a = 4.760 Å, b = 4.760 Å, c = 3.037 Å
α = 90.00°, β = 90.00°, γ = 120.00°
Element x y z (fractional)
Pt: 0.000 0.000 0.167
Zr: 0.333 0.667 0.667
Tl: 0.667 0.333 0.167

## Properties
E = -18.2 eV for the cell shown
M_tot = 0.00 Bohr magnetons per cell

# 7
First-principles (PBE) data for a relaxed Rb2Tl2Cd crystal, as listed in Alexandria.

a = 7.174 Å, b = 7.176 Å, c = 9.457 Å
α = 79.81°, β = 79.78°, γ = 62.68°
Element x y z (fractional)
Tl: 0.995 0.235 0.009
Tl: 0.005 0.765 0.991
Tl: 0.235 0.995 0.509
Tl: 0.765 0.005 0.491
Rb: 0.450 0.239 0.156
Rb: 0.239 0.450 0.656
Rb: 0.550 0.761 0.844
Rb: 0.761 0.550 0.344
Cd: 0.141 0.859 0.250
Cd: 0.859 0.141 0.750

## Properties
Energy above the most stable polymorph in this dataset = 0 meV per atom
M_tot = 0.00 Bohr magnetons per cell

# 8
First-principles (PBE) data for a relaxed Sm8Te4As3Rh crystal, as listed in Alexandria.

a = 8.583 Å, b = 8.747 Å, c = 8.583 Å
α = 119.39°, β = 120.00°, γ = 90.00°
Element x y z (fractional)
Sm: 0.235 0.717 0.470
Sm: 0.765 0.283 0.530
Sm: 0.740 0.721 0.481
Sm: 0.253 0.283 0.018
Sm: 0.260 0.279 0.519
Sm: 0.747 0.717 0.982
Sm: 0.235 0.717 0.982
Sm: 0.765 0.283 0.018
Te: 0.500 0.000 0.000
Te: 0.000 0.000 0.500
Te: 0.500 0.000 0.500
Te: 0.000 0.000 0.000
As: 0.500 0.500 0.500
As: 0.000 0.500 0.500
As: 0.500 0.500 0.000
Rh: 0.000 0.500 0.000

## Properties
M_tot = 0.00 Bohr magnetons per cell
Formation energy without anion corrections = -1384.8 meV/atom

# 9
First-principles (PBE) data for a relaxed Al2CuO4 crystal, as listed in Alexandria.

a = 5.748 Å, b = 5.748 Å, c = 14.203 Å
α = 90.00°, β = 90.00°, γ = 120.00°
Element x y z (fractional)
Al: 0.166 0.834 0.499
Al: 0.333 0.667 0.712
Al: 0.831 0.169 0.833
Al: 0.831 0.662 0.833
Al: 0.499 0.998 0.167
Al: 0.002 0.501 0.167
Al: 0.499 0.501 0.167
Al: 0.166 0.331 0.499
Al: 0.338 0.169 0.833
Al: 0.000 0.000 0.042
Al: 0.669 0.834 0.499
Al: 0.333 0.667 0.334
Cu: 0.667 0.333 0.997
Cu: 0.333 0.667 0.960
Cu: 0.667 0.333 0.623
Cu: 0.000 0.000 0.292
Cu: 0.000 0.000 0.662
Cu: 0.667 0.333 0.375
O: 0.667 0.333 0.762
O: 0.000 0.000 0.909
O: 0.187 0.813 0.247
O: 0.187 0.374 0.247
O: 0.479 0.957 0.424
O: 0.514 0.028 0.906
O: 0.333 0.667 0.099
O: 0.514 0.486 0.906
O: 0.847 0.153 0.572
O: 0.626 0.813 0.247
O: 0.831 0.662 0.090
O: 0.972 0.486 0.906
O: 0.161 0.322 0.759
O: 0.667 0.333 0.229
O: 0.678 0.839 0.759
O: 0.479 0.521 0.424
O: 0.338 0.169 0.090
O: 0.847 0.694 0.572
O: 0.043 0.521 0.424
O: 0.161 0.839 0.759
O: 0.306 0.153 0.572
O: 0.000 0.000 0.430
O: 0.831 0.169 0.090
O: 0.333 0.667 0.583

## Properties
Energy above the most stable polymorph in this dataset = 0 meV per atom
M_tot = 0.24 Bohr magnetons per cell
Formation energy without anion corrections = -2257.0 meV/atom

# 10
First-principles (PBE) data for a relaxed BaEr2In crystal, as listed in Alexandria.

a = 3.699 Å, b = 3.699 Å, c = 10.048 Å
α = 90.00°, β = 90.00°, γ = 90.00°
Element x y z (fractional)
Er: 0.000 0.000 0.191
Er: 0.000 0.000 0.809
In: 0.500 0.500 0.000
Ba: 0.500 0.500 0.500

## Properties
Energy above the most stable polymorph in this dataset = 0 meV per atom
M_tot = 0.00 Bohr magnetons per cell

# 11
First-principles (PBE) data for a relaxed BaLiCdBi crystal, as listed in Alexandria.

a = 5.687 Å, b = 5.687 Å, c = 5.687 Å
α = 60.00°, β = 60.00°, γ = 60.00°
Element x y z (fractional)
Cd: 0.750 0.750 0.750
Bi: 0.250 0.250 0.250
Ba: 0.000 0.000 0.000
Li: 0.500 0.500 0.500

## Properties
E = -10.5 eV for the cell shown
M_tot = 0.00 Bohr magnetons per cell

# 12
First-principles (PBE) data for a relaxed Sm4CSeI2 crystal, as listed in Alexandria.

a = 3.991 Å, b = 7.259 Å, c = 7.887 Å
α = 106.79°, β = 90.00°, γ = 90.00°
Element x y z (fractional)
Sm: 0.000 0.307 0.823
Sm: 0.000 0.693 0.177
Sm: 0.500 0.275 0.184
Sm: 0.500 0.725 0.816
C: 0.500 0.500 0.000
I: 0.000 0.500 0.500
I: 0.500 0.000 0.500
Se: 0.000 0.000 0.000

## Properties
M_tot = 0.00 Bohr magnetons per cell
Formation energy without anion corrections = -1042.3 meV/atom